An optimized crystal structure of CePaPb, computed with PBE-GGA.

The structure in POSCAR format:
```
CePaPb
1.0
3.0953 0.0000 0.0000
0.0000 3.0953 0.0000
-1.5477 -1.5477 8.6781
Pb Ce Pa
1 1 1
Direct
0.7720 0.7720 0.5440
0.9629 0.9629 0.9259
0.1151 0.1151 0.2301
```

- N(E_F) (states/eV/cell) = 6.9
- spin magnetization (μB/atom) = 0.204
- relative energy among the computed polymorphs (eV per formula unit) = 0.63
- energy of formation from the pure elements (meV per atom) = 283
- VASP energy (eV/f.u.) = -18.288